No. 1
# Hg3HN, relaxed, DFT GGA-PBEsol
data_Hg3HN
_symmetry_space_group_name_H-M 'P 1'
_symmetry_Int_Tables_number 1
_cell_length_a 4.393
_cell_length_b 4.393
_cell_length_c 4.393
_cell_angle_alpha 90.00
_cell_angle_beta 90.00
_cell_angle_gamma 90.00
loop_
_symmetry_equiv_pos_as_xyz
'x,y,z'
loop_
_atom_site_label
_atom_site_type_symbol
_atom_site_fract_x
_atom_site_fract_y
_atom_site_fract_z
H1 H 0.000 0.000 0.000
Hg1 Hg 0.000 0.500 0.000
Hg2 Hg 0.000 0.000 0.500
Hg3 Hg 0.500 0.000 0.000
N1 N 0.500 0.500 0.500
# Space-group type: No. 221
# E, eV/atom: -1.478


No. 2
# YTlHg2, relaxed, DFT GGA-PBEsol
data_YTlHg2
_symmetry_space_group_name_H-M 'P 1'
_symmetry_Int_Tables_number 1
_cell_length_a 4.597
_cell_length_b 4.597
_cell_length_c 5.544
_cell_angle_alpha 114.49
_cell_angle_beta 114.49
_cell_angle_gamma 90.00
loop_
_symmetry_equiv_pos_as_xyz
'x,y,z'
loop_
_atom_site_label
_atom_site_type_symbol
_atom_site_fract_x
_atom_site_fract_y
_atom_site_fract_z
Y1 Y 0.250 0.750 0.500
Tl1 Tl 0.500 0.500 0.000
Hg1 Hg 0.000 0.000 0.000
Hg2 Hg 0.750 0.250 0.500
# Space-group type: No. 119
# Energy of formation, eV per atom: -0.321


No. 3
# OsRu2Cl, relaxed, DFT GGA-PBEsol
data_OsRu2Cl
_symmetry_space_group_name_H-M 'P 1'
_symmetry_Int_Tables_number 1
_cell_length_a 2.810
_cell_length_b 4.431
_cell_length_c 5.078
_cell_angle_alpha 115.87
_cell_angle_beta 106.06
_cell_angle_gamma 90.00
loop_
_symmetry_equiv_pos_as_xyz
'x,y,z'
loop_
_atom_site_label
_atom_site_type_symbol
_atom_site_fract_x
_atom_site_fract_y
_atom_site_fract_z
Cl1 Cl 0.500 0.000 0.000
Os1 Os 0.000 0.500 0.000
Ru1 Ru 0.771 0.771 0.541
Ru2 Ru 0.229 0.229 0.459
# Space-group type: No. 71
# Energy relative to the elements, uncorrected, eV/f.u.: 3.56
# Distance to the lowest polymorph of the same formula, kJ per mole of atoms: 41.8


What did the second record say?
# YTlHg2, relaxed, DFT GGA-PBEsol
data_YTlHg2
_symmetry_space_group_name_H-M 'P 1'
_symmetry_Int_Tables_number 1
_cell_length_a 4.597
_cell_length_b 4.597
_cell_length_c 5.544
_cell_angle_alpha 114.49
_cell_angle_beta 114.49
_cell_angle_gamma 90.00
loop_
_symmetry_equiv_pos_as_xyz
'x,y,z'
loop_
_atom_site_label
_atom_site_type_symbol
_atom_site_fract_x
_atom_site_fract_y
_atom_site_fract_z
Y1 Y 0.250 0.750 0.500
Tl1 Tl 0.500 0.500 0.000
Hg1 Hg 0.000 0.000 0.000
Hg2 Hg 0.750 0.250 0.500
# Space-group type: No. 119
# Energy of formation, eV per atom: -0.321